Model P:
PBE AlIn2F2, relaxed; total magnetic moment = 0.0 μB/f.u.; space-group type = I4/mmm (139)
1.0
-2.967 2.967 3.147
2.967 -2.967 3.147
2.967 2.967 -3.147
Al In F
1 2 2
Cartesian
0.000 0.000 0.000
2.967 0.000 1.574
0.000 2.967 1.574
0.000 0.000 1.762
0.000 0.000 4.533

---

Model Q:
PBE AlIn2F2, relaxed; total magnetic moment = 0.0 μB/f.u.; space-group type = P4/mbm (127)
1.0
7.789 0.000 0.000
0.000 7.789 0.000
0.000 0.000 2.998
Al In F
2 4 4
Cartesian
0.000 0.000 0.000
3.895 3.895 0.000
1.270 2.624 1.499
2.624 6.519 1.499
5.165 1.270 1.499
6.519 5.165 1.499
0.904 4.799 0.000
2.990 0.904 0.000
4.799 6.885 0.000
6.885 2.990 0.000

---

Which structure is most stable, and how do the rest compare? From most to least stable: model P, model Q.

---

Model P:
PBE AlIn3F, relaxed; total magnetic moment = 0.0 μB/f.u.; space-group type = Pm-3m (221)
1.0
5.368 0.000 0.000
0.000 5.368 0.000
0.000 0.000 5.368
Al In F
1 3 1
Cartesian
0.000 0.000 0.000
0.000 0.000 2.684
0.000 2.684 0.000
2.684 0.000 0.000
2.684 2.684 2.684

---

Model Q:
PBE AlIn3F, relaxed; total magnetic moment = 0.0 μB/f.u.; space-group type = Pm-3m (221)
1.0
4.976 0.000 0.000
0.000 4.976 0.000
0.000 0.000 4.976
Al In F
1 3 1
Cartesian
0.000 0.000 0.000
0.000 2.488 2.488
2.488 0.000 2.488
2.488 2.488 0.000
2.488 2.488 2.488

---

Which structure is most stable, and how do the rest compare? From most to least stable: model Q, model P.

---

Model P:
PBE Al3InF, relaxed; total magnetic moment = 0.0 μB/f.u.; space-group type = Pm-3m (221)
1.0
5.307 0.000 0.000
0.000 5.307 0.000
0.000 0.000 5.307
Al In F
3 1 1
Cartesian
0.000 0.000 2.653
0.000 2.653 0.000
2.653 0.000 0.000
0.000 0.000 0.000
2.653 2.653 2.653

---

Model Q:
PBE Al3InF, relaxed; total magnetic moment = 0.0 μB/f.u.; space-group type = Pm-3m (221)
1.0
4.554 0.000 0.000
0.000 4.554 0.000
0.000 0.000 4.554
Al In F
3 1 1
Cartesian
0.000 0.000 2.277
0.000 2.277 0.000
2.277 0.000 0.000
2.277 2.277 2.277
0.000 0.000 0.000

---

Which structure is most stable, and how do the rest compare? From most to least stable: model Q, model P.

---

Model P:
PBE AlInN2F, relaxed; total magnetic moment = 1.0 μB/f.u.; space-group type = P4/mmm (123)
1.0
4.225 0.000 0.000
0.000 4.225 0.000
0.000 0.000 4.156
Al In N F
1 1 2 1
Cartesian
0.000 0.000 0.000
2.112 2.112 2.078
0.000 2.112 2.078
2.112 0.000 2.078
2.112 2.112 0.000

---

Model Q:
PBE AlInN2F, relaxed; total magnetic moment = 0.0 μB/f.u.; space-group type = P4/mmm (123)
1.0
3.854 0.000 0.000
0.000 3.854 0.000
0.000 0.000 3.598
Al In N F
1 1 2 1
Cartesian
0.000 0.000 0.000
1.927 1.927 1.799
0.000 1.927 0.000
1.927 0.000 0.000
0.000 0.000 1.799

---

Which structure is most stable, and how do the rest compare? From most to least stable: model Q, model P.